1.
## Be2VHIr (PBE-GGA)

Data for a geometry-optimized Be2VHIr structure.

Geometry as POSCAR:
```
Be2VHIr
1.0
3.663 0.000 0.000
0.000 3.663 0.000
0.000 0.000 3.518
Be V H Ir
2 1 1 1
direct
0.000 0.500 0.000
0.500 0.000 0.000
0.000 0.000 0.500
0.000 0.000 0.000
0.500 0.500 0.500
```

Computed properties:
Space group   P4/mmm, No. 123
Mass density   9.2 g cm⁻³
Energy   -29.4 eV/cell


2.
## Zr2BeHIr6 (PBE-GGA)

Data for a geometry-optimized Zr2BeHIr6 structure.

Geometry as POSCAR:
```
Zr2BeHIr6
1.0
0.000 4.114 4.114
4.114 0.000 4.114
4.114 4.114 0.000
Zr Be H Ir
2 1 1 6
direct
0.250 0.250 0.250
0.750 0.750 0.750
0.000 0.000 0.000
0.500 0.500 0.500
0.259 0.259 0.741
0.259 0.741 0.259
0.259 0.741 0.741
0.741 0.259 0.259
0.741 0.259 0.741
0.741 0.741 0.259
```

Computed properties:
Space group   Fm-3m, No. 225
Mass density   16.0 g cm⁻³
Energy   -82.9 eV/cell


3.
## Zr2BeHIr (PBE-GGA)

Data for a geometry-optimized Zr2BeHIr structure.

Geometry as POSCAR:
```
Zr2BeHIr
1.0
4.416 0.000 0.000
0.000 4.416 0.000
0.000 0.000 3.591
Zr Be H Ir
2 1 1 1
direct
0.000 0.500 0.000
0.500 0.000 0.000
0.000 0.000 0.500
0.000 0.000 0.000
0.500 0.500 0.500
```

Computed properties:
Space group   P4/mmm, No. 123
Mass density   9.1 g cm⁻³
Energy   -34.9 eV/cell